#i
Below is a relaxed TaBi3Mo crystal, with properties calculated at the PBE-GGA level.

* magnetic moment: 4.39 μB/cell
* space-group type: Pm-3m, No. 221
* ρ: 9.11 g/cm3

Cell lengths 5.482, 5.482, 5.482 Å; angles 90.00, 90.00, 90.00 degrees
Element x y z (fractional)
1 Mo 0.500 0.500 0.500
2 Bi 0.500 0.000 0.000
3 Bi 0.000 0.000 0.500
4 Bi 0.000 0.500 0.000
5 Ta 0.000 0.000 0.000



#ii
Below is a relaxed TaBi3Mo crystal, with properties calculated at the PBE-GGA level.

* magnetic moment: 4.21 μB/cell
* space-group type: Pm-3m, No. 221
* ρ: 9.80 g/cm3

Cell lengths 5.350, 5.350, 5.350 Å; angles 90.00, 90.00, 90.00 degrees
Element x y z (fractional)
1 Mo 0.000 0.000 0.000
2 Ta 0.500 0.500 0.500
3 Bi 0.500 0.000 0.000
4 Bi 0.000 0.000 0.500
5 Bi 0.000 0.500 0.000



Q: What are the energies relative to the best structure? A: #i 0.0; #ii 15.2, in kJ/mol of atoms.



#i
Below is a relaxed Ta2BiTeMo crystal, with properties calculated at the PBE-GGA level.

* magnetic moment: 0.70 μB/cell
* space-group type: P4/mmm, No. 123
* ρ: 10.38 g/cm3

Cell lengths 5.069, 4.948, 5.069 Å; angles 90.00, 90.00, 90.00 degrees
Element x y z (fractional)
1 Mo 0.000 0.500 0.000
2 Ta 0.500 0.000 0.000
3 Ta 0.000 0.000 0.500
4 Bi 0.500 0.500 0.500
5 Te 0.000 0.000 0.000



#ii
Below is a relaxed Ta2BiTeMo crystal, with properties calculated at the PBE-GGA level.

* magnetic moment: 1.81 μB/cell
* space-group type: P4/mmm, No. 123
* ρ: 8.44 g/cm3

Cell lengths 5.213, 5.752, 5.213 Å; angles 90.00, 90.00, 90.00 degrees
Element x y z (fractional)
1 Ta 0.000 0.000 0.500
2 Ta 0.500 0.000 0.000
3 Te 0.000 0.500 0.000
4 Bi 0.000 0.000 0.000
5 Mo 0.500 0.500 0.500



Q: What are the energies relative to the best structure? A: #i 0.0; #ii 93.0, in kJ/mol of atoms.



#i
Below is a relaxed Ti4BiMo crystal, with properties calculated at the PBE-GGA level.

* magnetic moment: 0.00 μB/cell
* space-group type: C2/m, No. 12
* ρ: 7.66 g/cm3

Cell lengths 3.461, 5.394, 7.011 Å; angles 109.12, 75.71, 71.29 degrees
Element x y z (fractional)
1 Ti 0.310 0.027 0.353
2 Ti 0.860 0.473 0.806
3 Ti 0.690 0.973 0.647
4 Ti 0.140 0.527 0.194
5 Bi 0.000 0.000 0.000
6 Mo 0.500 0.500 0.500



#ii
Below is a relaxed Ti4BiMo crystal, with properties calculated at the PBE-GGA level.

* magnetic moment: 0.00 μB/cell
* space-group type: R-3m, No. 166
* ρ: 6.44 g/cm3

Cell lengths 4.514, 4.519, 7.699 Å; angles 72.95, 72.95, 60.03 degrees
Element x y z (fractional)
1 Ti 0.364 0.364 0.909
2 Ti 0.636 0.636 0.091
3 Ti 0.111 0.110 0.669
4 Ti 0.889 0.890 0.331
5 Mo 0.000 0.000 0.000
6 Bi 0.500 0.500 0.500



Q: What are the energies relative to the best structure? A: #i 0.0; #ii 38.8, in kJ/mol of atoms.



#i
Below is a relaxed TiBi3Mo crystal, with properties calculated at the PBE-GGA level.

* magnetic moment: 3.57 μB/cell
* space-group type: Pm-3m, No. 221
* ρ: 8.15 g/cm3

Cell lengths 5.394, 5.394, 5.394 Å; angles 90.00, 90.00, 90.00 degrees
Element x y z (fractional)
1 Bi 0.000 0.500 0.000
2 Bi 0.000 0.000 0.500
3 Bi 0.500 0.000 0.000
4 Mo 0.000 0.000 0.000
5 Ti 0.500 0.500 0.500



#ii
Below is a relaxed TiBi3Mo crystal, with properties calculated at the PBE-GGA level.

* magnetic moment: 4.66 μB/cell
* space-group type: Pm-3m, No. 221
* ρ: 8.23 g/cm3

Cell lengths 5.378, 5.378, 5.378 Å; angles 90.00, 90.00, 90.00 degrees
Element x y z (fractional)
1 Bi 0.000 0.500 0.000
2 Bi 0.500 0.000 0.000
3 Bi 0.000 0.000 0.500
4 Mo 0.500 0.500 0.500
5 Ti 0.000 0.000 0.000



Q: What are the energies relative to the best structure? A: #i 1.3; #ii 0.0, in kJ/mol of atoms.



#i
Below is a relaxed TlBiMo2 crystal, with properties calculated at the PBE-GGA level.

* magnetic moment: 0.00 μB/cell
* space-group type: I-42d, No. 122
* ρ: 10.92 g/cm3

Cell lengths 4.260, 4.260, 10.579 Å; angles 78.39, 78.39, 90.00 degrees
Element x y z (fractional)
1 Mo 0.875 0.797 0.750
2 Mo 0.203 0.625 0.250
3 Mo 0.547 0.125 0.250
4 Mo 0.375 0.453 0.750
5 Bi 0.750 0.250 0.500
6 Bi 0.000 0.000 0.000
7 Tl 0.250 0.750 0.500
8 Tl 0.500 0.500 0.000



#ii
Below is a relaxed TlBiMo2 crystal, with properties calculated at the PBE-GGA level.

* magnetic moment: 0.58 μB/cell
* space-group type: Fm-3m, No. 225
* ρ: 12.76 g/cm3

Cell lengths 4.811, 4.811, 4.811 Å; angles 60.00, 60.00, 60.00 degrees
Element x y z (fractional)
1 Bi 0.500 0.500 0.500
2 Mo 0.750 0.750 0.750
3 Mo 0.250 0.250 0.250
4 Tl 0.000 0.000 0.000



Q: What are the energies relative to the best structure? A: #i 10.5; #ii 0.0, in kJ/mol of atoms.



#i
Below is a relaxed Tl2BiMo crystal, with properties calculated at the PBE-GGA level.

* magnetic moment: 5.65 μB/cell
* space-group type: I-42d, No. 122
* ρ: 10.92 g/cm3

Cell lengths 4.344, 4.344, 11.909 Å; angles 79.49, 79.49, 90.00 degrees
Element x y z (fractional)
1 Bi 0.000 0.000 0.000
2 Bi 0.750 0.250 0.500
3 Tl 0.135 0.625 0.250
4 Tl 0.615 0.125 0.250
5 Tl 0.375 0.385 0.750
6 Tl 0.875 0.865 0.750
7 Mo 0.500 0.500 0.000
8 Mo 0.250 0.750 0.500



#ii
Below is a relaxed Tl2BiMo crystal, with properties calculated at the PBE-GGA level.

* magnetic moment: 3.25 μB/cell
* space-group type: Fm-3m, No. 225
* ρ: 11.21 g/cm3

Cell lengths 5.307, 5.307, 5.307 Å; angles 60.00, 60.00, 60.00 degrees
Element x y z (fractional)
1 Tl 0.750 0.750 0.750
2 Tl 0.250 0.250 0.250
3 Bi 0.500 0.500 0.500
4 Mo 0.000 0.000 0.000



Q: What are the energies relative to the best structure? A: #i 0.0; #ii 10.8, in kJ/mol of atoms.



#i
Below is a relaxed VBi2Mo crystal, with properties calculated at the PBE-GGA level.

* magnetic moment: 2.17 μB/cell
* space-group type: Fm-3m, No. 225
* ρ: 11.35 g/cm3

Cell lengths 4.889, 4.889, 4.889 Å; angles 60.00, 60.00, 60.00 degrees
Element x y z (fractional)
1 Mo 0.500 0.500 0.500
2 V 0.000 0.000 0.000
3 Bi 0.750 0.750 0.750
4 Bi 0.250 0.250 0.250



#ii
Below is a relaxed VBi2Mo crystal, with properties calculated at the PBE-GGA level.

* magnetic moment: 10.01 μB/cell
* space-group type: I-42d, No. 122
* ρ: 7.14 g/cm3

Cell lengths 6.447, 6.447, 7.797 Å; angles 65.58, 65.58, 90.00 degrees
Element x y z (fractional)
1 Bi 0.375 0.372 0.750
2 Bi 0.628 0.125 0.250
3 Bi 0.875 0.878 0.750
4 Bi 0.122 0.625 0.250
5 Mo 0.750 0.250 0.500
6 Mo 0.000 0.000 0.000
7 V 0.500 0.500 0.000
8 V 0.250 0.750 0.500



Q: What are the energies relative to the best structure? A: #i 0.0; #ii 54.6, in kJ/mol of atoms.



#i
Below is a relaxed YBiMo3 crystal, with properties calculated at the PBE-GGA level.

* magnetic moment: 3.06 μB/cell
* space-group type: Pm-3m, No. 221
* ρ: 8.06 g/cm3

Cell lengths 4.941, 4.941, 4.941 Å; angles 90.00, 90.00, 90.00 degrees
Element x y z (fractional)
1 Mo 0.500 0.000 0.000
2 Mo 0.000 0.500 0.000
3 Mo 0.000 0.000 0.500
4 Y 0.000 0.000 0.000
5 Bi 0.500 0.500 0.500



#ii
Below is a relaxed YBiMo3 crystal, with properties calculated at the PBE-GGA level.

* magnetic moment: 0.00 μB/cell
* space-group type: Pm-3m, No. 221
* ρ: 7.54 g/cm3

Cell lengths 5.052, 5.052, 5.052 Å; angles 90.00, 90.00, 90.00 degrees
Element x y z (fractional)
1 Mo 0.500 0.000 0.000
2 Mo 0.000 0.000 0.500
3 Mo 0.000 0.500 0.000
4 Y 0.500 0.500 0.500
5 Bi 0.000 0.000 0.000



Q: What are the energies relative to the best structure? A: #i 43.0; #ii 0.0, in kJ/mol of atoms.